Below is a relaxed structure of CsLaPt, with properties calculated at the PBE-GGA level.

Values from the calculation:
The calculation puts the calculated volume at 103.1 Å³ per cell. As for the symmetry: F-43m, No. 216. As for the offset from the most stable computed form: 0.0 meV/atom. The total energy comes out at -4.00 eV per atom.

abc: 5.263 5.263 5.263
angles: 60.00 60.00 60.00
Fractional coordinates of all 3 atoms:
La  0.750  0.750  0.750
Pt  0.000  0.000  0.000
Cs  0.250  0.250  0.250

Below is a relaxed structure of TaCuNiSb, with properties calculated at the PBE-GGA level.

Values from the calculation:
The calculation puts the calculated volume at 62.6 Å³ per cell. As for the symmetry: F-43m, No. 216. As for the offset from the most stable computed form: 24.1 meV/atom. The total energy comes out at -6.04 eV per atom.

abc: 4.456 4.456 4.456
angles: 60.00 60.00 60.00
Fractional coordinates of all 4 atoms:
Ta  0.500  0.500  0.500
Sb  0.000  0.000  0.000
Cu  0.750  0.750  0.750
Ni  0.250  0.250  0.250

Below is a relaxed structure of LiSc2Os, with properties calculated at the PBE-GGA level.

Values from the calculation:
The calculation puts the calculated volume at 414.2 Å³ per cell. As for the symmetry: Fm-3m, No. 225. As for the offset from the most stable computed form: 0.0 meV/atom. The total energy comes out at -6.78 eV per atom.

abc: 4.604 6.512 13.817
angles: 90.00 90.00 90.00
Fractional coordinates of all 24 atoms:
Li  0.500  0.000  0.167
Sc  0.000  0.750  0.167
Os  0.999  0.000  0.333
Li  0.500  0.000  0.833
Sc  0.500  0.250  0.000
Sc  0.000  0.250  0.500
Sc  0.500  0.750  0.667
Sc  0.000  0.750  0.500
Sc  0.000  0.250  0.167
Li  0.500  0.000  0.500
Sc  0.000  0.250  0.833
Sc  0.500  0.750  0.000
Li  0.000  0.500  0.667
Os  0.500  0.500  0.500
Os  0.501  0.500  0.833
Sc  0.500  0.250  0.333
Sc  0.500  0.750  0.333
Os  0.499  0.500  0.167
Os  0.001  0.000  0.667
Sc  0.000  0.750  0.833
Li  0.000  0.500  0.000
Os  0.000  0.000  0.000
Li  0.000  0.500  0.333
Sc  0.500  0.250  0.667

Below is a relaxed structure of Nd2H, with properties calculated at the PBE-GGA level.

Values from the calculation:
The calculation puts the calculated volume at 269.4 Å³ per cell. As for the symmetry: Fd-3m, No. 227. As for the offset from the most stable computed form: 355.2 meV/atom. The total energy comes out at -3.64 eV per atom.

abc: 7.250 7.250 7.250
angles: 60.00 60.00 60.00
Fractional coordinates of all 6 atoms:
Nd  0.375  0.375  0.375
Nd  0.375  0.375  0.875
Nd  0.375  0.875  0.375
H  0.500  0.500  0.500
Nd  0.875  0.375  0.375
H  0.250  0.250  0.250

Below is a relaxed structure of Rb2HgF4, with properties calculated at the PBE-GGA level.

Values from the calculation:
The calculation puts the calculated volume at 138.0 Å³ per cell. As for the symmetry: I4/mmm, No. 139. The total energy comes out at -3.55 eV per atom.

abc: 7.511 7.511 7.511
angles: 145.10 145.10 50.18
Fractional coordinates of all 7 atoms:
Rb  0.642  0.642  0.000
F  0.833  0.833  0.000
F  0.167  0.167  0.000
F  0.500  0.000  0.500
F  0.000  0.500  0.500
Hg  0.000  0.000  0.000
Rb  0.358  0.358  0.000

Below is a relaxed structure of LiReNiB, with properties calculated at the PBE-GGA level.

Values from the calculation:
The calculation puts the calculated volume at 42.8 Å³ per cell. As for the symmetry: F-43m, No. 216. As for the offset from the most stable computed form: 397.4 meV/atom. The total energy comes out at -5.90 eV per atom.

abc: 3.928 3.928 3.928
angles: 60.00 60.00 60.00
Fractional coordinates of all 4 atoms:
Li  0.250  0.250  0.250
Ni  0.750  0.750  0.750
Re  0.500  0.500  0.500
B  0.000  0.000  0.000

Below is a relaxed structure of BaNdAl4Ni2, with properties calculated at the PBE-GGA level.

Values from the calculation:
The calculation puts the calculated volume at 167.3 Å³ per cell. As for the symmetry: Amm2, No. 38. The total energy comes out at -4.53 eV per atom.

abc: 7.145 6.060 6.060
angles: 39.62 90.00 90.00
Fractional coordinates of all 8 atoms:
Al  0.683  0.181  0.181
Ni  0.500  0.720  0.720
Al  0.198  0.821  0.821
Al  0.802  0.821  0.821
Al  0.317  0.181  0.181
Nd  0.500  0.453  0.453
Ba  0.000  0.545  0.545
Ni  0.000  0.278  0.278

Below is a relaxed structure of ReB4Os, with properties calculated at the PBE-GGA level.

Values from the calculation:
The calculation puts the calculated volume at 52.7 Å³ per cell. As for the symmetry: Immm, No. 71. As for the offset from the most stable computed form: 9.3 meV/atom. The total energy comes out at -8.02 eV per atom.

abc: 4.566 4.566 4.566
angles: 142.18 111.88 80.65
Fractional coordinates of all 6 atoms:
B  0.915  0.248  0.667
B  0.085  0.752  0.333
B  0.419  0.752  0.667
Re  0.500  0.500  0.000
B  0.581  0.248  0.333
Os  0.000  0.000  0.000

Below is a relaxed structure of ZrInAuSeS2, with properties calculated at the PBE-GGA level.

Values from the calculation:
The calculation puts the calculated volume at 291.5 Å³ per cell. As for the symmetry: Cmcm, No. 63. The total energy comes out at -5.19 eV per atom.

abc: 7.651 7.651 10.393
angles: 90.00 90.00 151.37
Fractional coordinates of all 12 atoms:
S  0.120  0.880  0.473
S  0.880  0.120  0.973
In  0.805  0.195  0.250
Au  0.160  0.840  0.250
Au  0.840  0.160  0.750
S  0.120  0.880  0.027
In  0.195  0.805  0.750
Se  0.450  0.550  0.250
Se  0.550  0.450  0.750
Zr  0.500  0.500  0.000
S  0.880  0.120  0.527
Zr  0.500  0.500  0.500

Below is a relaxed structure of FeHgBOs, with properties calculated at the PBE-GGA level.

Values from the calculation:
The calculation puts the calculated volume at 54.5 Å³ per cell. As for the symmetry: F-43m, No. 216. As for the offset from the most stable computed form: 0.0 meV/atom. The total energy comes out at -5.46 eV per atom.

abc: 4.255 4.255 4.255
angles: 60.00 60.00 60.00
Fractional coordinates of all 4 atoms:
Os  0.250  0.250  0.250
Hg  0.500  0.500  0.500
B  0.000  0.000  0.000
Fe  0.750  0.750  0.750

Below is a relaxed structure of LuSbPd2, with properties calculated at the PBE-GGA level.

Values from the calculation:
The calculation puts the calculated volume at 77.1 Å³ per cell. As for the symmetry: F-43m, No. 216. As for the offset from the most stable computed form: 221.0 meV/atom. The total energy comes out at -5.41 eV per atom.

abc: 4.777 4.777 4.777
angles: 60.00 60.00 60.00
Fractional coordinates of all 4 atoms:
Lu  0.250  0.250  0.250
Sb  0.500  0.500  0.500
Pd  0.000  0.000  0.000
Pd  0.750  0.750  0.750

Below is a relaxed structure of U3Cl2, with properties calculated at the PBE-GGA level.

Values from the calculation:
The calculation puts the calculated volume at 235.2 Å³ per cell. As for the symmetry: R-3c, No. 167. The total energy comes out at -7.49 eV per atom.

abc: 6.928 6.928 6.929
angles: 119.99 60.01 120.00
Fractional coordinates of all 10 atoms:
Cl  0.663  0.337  0.012
U  0.590  0.750  0.250
U  0.410  0.250  0.750
U  0.750  0.910  0.750
U  0.090  0.590  0.750
Cl  0.837  0.163  0.488
U  0.250  0.090  0.250
Cl  0.163  0.837  0.512
U  0.910  0.410  0.250
Cl  0.337  0.663  0.988

Below is a relaxed structure of LuAsNO, with properties calculated at the PBE-GGA level.

Values from the calculation:
The calculation puts the calculated volume at 105.6 Å³ per cell. As for the symmetry: P4/nmm, No. 129. As for the offset from the most stable computed form: 165.8 meV/atom. The total energy comes out at -6.74 eV per atom.

abc: 4.792 4.792 4.600
angles: 90.00 90.00 90.00
Fractional coordinates of all 8 atoms:
As  0.250  0.250  0.977
As  0.750  0.750  0.023
N  0.750  0.750  0.431
O  0.750  0.250  0.000
Lu  0.750  0.250  0.500
O  0.250  0.750  0.000
N  0.250  0.250  0.569
Lu  0.250  0.750  0.500

Below is a relaxed structure of NdHgPt, with properties calculated at the PBE-GGA level.

Values from the calculation:
The calculation puts the calculated volume at 84.1 Å³ per cell. As for the symmetry: F-43m, No. 216. The formation energy is -0.34 eV/atom. The total energy comes out at -4.05 eV per atom.

abc: 4.917 4.917 4.917
angles: 60.00 60.00 60.00
Fractional coordinates of all 3 atoms:
Nd  0.000  0.000  0.000
Pt  0.750  0.750  0.750
Hg  0.250  0.250  0.250

Below is a relaxed structure of Mg2InPt2, with properties calculated at the PBE-GGA level.

Values from the calculation:
The calculation puts the calculated volume at 179.7 Å³ per cell. As for the symmetry: P4/mbm, No. 127. The total energy comes out at -4.25 eV per atom.

abc: 7.695 7.695 3.034
angles: 90.00 90.00 90.00
Fractional coordinates of all 10 atoms:
In  0.500  0.500  0.000
Mg  0.145  0.645  0.500
Pt  0.650  0.150  0.000
Mg  0.855  0.355  0.500
Pt  0.850  0.650  0.000
Mg  0.355  0.145  0.500
Pt  0.150  0.350  0.000
In  0.000  0.000  0.000
Mg  0.645  0.855  0.500
Pt  0.350  0.850  0.000

Below is a relaxed structure of Ta3Al2, with properties calculated at the PBE-GGA level.

Values from the calculation:
The calculation puts the calculated volume at 179.6 Å³ per cell. As for the symmetry: R-3m, No. 166. The total energy comes out at -8.42 eV per atom.

abc: 5.587 5.587 7.386
angles: 112.22 67.78 120.00
Fractional coordinates of all 10 atoms:
Al  0.692  0.308  0.925
Al  0.308  0.692  0.075
Al  0.192  0.808  0.425
Ta  0.750  0.250  0.250
Al  0.808  0.192  0.575
Ta  0.750  0.750  0.750
Ta  0.250  0.750  0.750
Ta  0.750  0.750  0.250
Ta  0.250  0.250  0.750
Ta  0.250  0.250  0.250

Below is a relaxed structure of PrCdInTe3, with properties calculated at the PBE-GGA level.

Values from the calculation:
The calculation puts the calculated volume at 847.9 Å³ per cell. As for the symmetry: Pnma, No. 62. As for the offset from the most stable computed form: 11.5 meV/atom. The total energy comes out at -3.74 eV per atom.

abc: 15.303 4.556 12.162
angles: 90.00 90.00 90.00
Fractional coordinates of all 24 atoms:
In  0.242  0.750  0.959
Te  0.393  0.250  0.919
Pr  0.472  0.250  0.158
Te  0.841  0.750  0.258
Cd  0.020  0.250  0.898
Pr  0.972  0.250  0.342
Cd  0.520  0.250  0.602
Te  0.097  0.250  0.119
Te  0.107  0.750  0.419
In  0.258  0.250  0.459
Cd  0.480  0.750  0.398
In  0.742  0.750  0.541
Te  0.341  0.750  0.242
Te  0.403  0.750  0.619
Te  0.159  0.250  0.742
Cd  0.980  0.750  0.102
Te  0.893  0.250  0.581
Te  0.597  0.250  0.381
Te  0.903  0.750  0.881
Te  0.659  0.250  0.758
Te  0.607  0.750  0.081
Pr  0.028  0.750  0.658
Pr  0.528  0.750  0.842
In  0.758  0.250  0.041

Below is a relaxed structure of Er2Mg2AgAu3, with properties calculated at the PBE-GGA level.

Values from the calculation:
The calculation puts the calculated volume at 164.8 Å³ per cell. As for the symmetry: Pm, No. 6. The total energy comes out at -3.78 eV per atom.

abc: 4.888 4.888 6.898
angles: 90.00 90.00 90.00
Fractional coordinates of all 8 atoms:
Au  0.755  0.500  0.750
Mg  0.252  0.500  0.499
Au  0.245  0.000  0.250
Mg  0.748  0.000  0.001
Au  0.755  0.500  0.250
Er  0.254  0.500  0.004
Ag  0.245  0.000  0.750
Er  0.746  0.000  0.496

Below is a relaxed structure of SrMg3Au, with properties calculated at the PBE-GGA level.

Values from the calculation:
The calculation puts the calculated volume at 140.4 Å³ per cell. As for the symmetry: Pm-3m, No. 221. The total energy comes out at -2.18 eV per atom.

abc: 5.198 5.198 5.198
angles: 90.00 90.00 90.00
Fractional coordinates of all 5 atoms:
Mg  0.000  0.500  0.000
Mg  0.000  0.000  0.500
Sr  0.500  0.500  0.500
Au  0.000  0.000  0.000
Mg  0.500  0.000  0.000

Below is a relaxed structure of HfZr3Bi4, with properties calculated at the PBE-GGA level.

Values from the calculation:
The calculation puts the calculated volume at 213.0 Å³ per cell. As for the symmetry: P3m1, No. 156. The total energy comes out at -6.68 eV per atom.

abc: 4.211 4.211 13.870
angles: 90.00 90.00 120.00
Fractional coordinates of all 8 atoms:
Zr  0.000  0.000  0.380
Bi  0.667  0.333  0.499
Zr  0.333  0.667  0.882
Hf  0.000  0.000  0.120
Bi  0.000  0.000  0.750
Zr  0.333  0.667  0.618
Bi  0.667  0.333  0.003
Bi  0.333  0.667  0.248

Below is a relaxed structure of FeNiP, with properties calculated at the PBE-GGA level.

Values from the calculation:
The calculation puts the calculated volume at 34.8 Å³ per cell. As for the symmetry: F-43m, No. 216. The total energy comes out at -6.92 eV per atom.

abc: 3.664 3.664 3.664
angles: 60.00 60.00 60.00
Fractional coordinates of all 3 atoms:
Fe  0.750  0.750  0.750
Ni  0.250  0.250  0.250
P  0.000  0.000  0.000

Below is a relaxed structure of SrPrSc, with properties calculated at the PBE-GGA level.

Values from the calculation:
The calculation puts the calculated volume at 126.5 Å³ per cell. As for the symmetry: F-43m, No. 216. As for the offset from the most stable computed form: 0.0 meV/atom. The total energy comes out at -3.51 eV per atom.

abc: 5.635 5.635 5.635
angles: 60.00 60.00 60.00
Fractional coordinates of all 3 atoms:
Pr  0.250  0.250  0.250
Sc  0.000  0.000  0.000
Sr  0.750  0.750  0.750

Below is a relaxed structure of LuC, with properties calculated at the PBE-GGA level.

Values from the calculation:
The calculation puts the calculated volume at 37.2 Å³ per cell. As for the symmetry: F-43m, No. 216. The total energy comes out at -6.46 eV per atom.

abc: 3.747 3.747 3.747
angles: 60.00 60.00 60.00
Fractional coordinates of all 2 atoms:
Lu  0.250  0.250  0.250
C  0.000  0.000  0.000

Below is a relaxed structure of DyEr2Sc3CuTe2, with properties calculated at the PBE-GGA level.

Values from the calculation:
The calculation puts the calculated volume at 218.1 Å³ per cell. As for the symmetry: Amm2, No. 38. The total energy comes out at -5.40 eV per atom.

abc: 3.941 7.993 7.993
angles: 120.00 90.00 90.00
Fractional coordinates of all 9 atoms:
Sc  0.500  0.237  0.237
Te  0.500  0.333  0.667
Te  0.500  0.667  0.333
Sc  0.500  0.001  0.763
Cu  0.000  0.002  0.002
Er  0.000  0.000  0.394
Dy  0.000  0.605  0.605
Sc  0.500  0.763  0.001
Er  0.000  0.394  0.000

Below is a relaxed structure of RbReAu3Se4, with properties calculated at the PBE-GGA level.

Values from the calculation:
The calculation puts the calculated volume at 274.0 Å³ per cell. As for the symmetry: P-43m, No. 215. The total energy comes out at -4.14 eV per atom.

abc: 6.495 6.495 6.495
angles: 90.00 90.00 90.00
Fractional coordinates of all 9 atoms:
Rb  0.000  0.000  0.000
Se  0.713  0.287  0.713
Au  0.500  0.000  0.500
Se  0.287  0.287  0.287
Se  0.713  0.713  0.287
Au  0.500  0.500  0.000
Se  0.287  0.713  0.713
Au  0.000  0.500  0.500
Re  0.500  0.500  0.500